Compound: ZnH4Pd6
Source: the Alexandria database
Functional: GGA-PBE
Structure: optimized geometry

a = 3.9465 Å, b = 13.2982 Å, c = 4.9492 Å
α = 90.00°, β = 112.69°, γ = 90.00°
Closest atoms and distances in Å follow each position.
Space group P2_1/m (No. 11)
Unique sites:
Zn 0.2154 0.2500 0.3987 [2 per cell]  9 Pd 2.55-2.74
H 0.1649 0.1239 0.9093 [4 per cell]  4 Pd 1.81-1.91
H 0.2742 0.5623 0.4928 [4 per cell]  3 Pd 1.78-1.90
Pd 0.0000 0.0000 0.0000 [2 per cell]  2 H 1.89
Pd 0.0814 0.7500 0.2012 [2 per cell]  2 H 1.91
Pd 0.3098 0.0722 0.6094 [4 per cell]  3 H 1.87-1.91
Pd 0.3868 0.6436 0.8015 [4 per cell]  2 H 1.78-1.81

Compound: Tb2GaAs
Source: the Alexandria database
Functional: GGA-PBE
Structure: optimized geometry

Results
**Formation energy from the elements**: -458.4 meV per atom
**E above lowest polymorph**: 0.615 eV/atom

a = 3.8531 Å, b = 3.8531 Å, c = 28.5353 Å
α = 90.00°, β = 90.00°, γ = 120.00°
Closest atoms and distances in Å follow each position.
Space group R-3m (No. 166, hexagonal axes)
Unique sites:
Tb 0.0000 0.0000 0.1062 [6 per cell]  3 As 2.81, 1 Ga 3.03
Ga 0.0000 0.0000 0.0000 [3 per cell]  2 Tb 3.03
As 0.0000 0.0000 0.5000 [3 per cell]  6 Tb 2.81

Compound: AlCr2Cl
Source: the Alexandria database
Functional: GGA-PBE
Structure: optimized geometry

Results
**Formation energy from raw total energies**: 23.3 kJ/mol of atoms
**E above lowest polymorph**: 0.224 eV/atom

a = 3.0472 Å, b = 3.0472 Å, c = 7.3308 Å
α = 90.00°, β = 90.00°, γ = 90.00°
Closest atoms and distances in Å follow each position.
Space group P4/mmm (No. 123)
Unique sites:
Al 0.0000 0.0000 0.0000 [1 per cell]  8 Cr 2.76, 4 Al 3.05
Cr 0.5000 0.5000 0.2361 [2 per cell]  4 Al 2.76, 4 Cl 2.90, 4 Cr 3.05
Cl 0.0000 0.0000 0.5000 [1 per cell]  8 Cr 2.90, 4 Cl 3.05

Compound: CoAuSe2
Source: the Alexandria database
Functional: GGA-PBE
Structure: optimized geometry

Results
**Formation energy from raw total energies**: 6.3 kJ/mol of atoms

a = 4.0507 Å, b = 4.0507 Å, c = 5.4084 Å
α = 90.00°, β = 90.00°, γ = 120.00°
Closest atoms and distances in Å follow each position.
Space group P3m1 (No. 156)
Unique sites:
Co 0.0000 0.0000 0.0000 [1 per cell]  4 Se 2.28-2.34
Au 0.6667 0.3333 0.6663 [1 per cell]  6 Se 2.69-2.90, 3 Co 2.95
Se 0.0000 0.0000 0.4215 [1 per cell]  1 Co 2.28
Se 0.3333 0.6667 0.9827 [1 per cell]  3 Co 2.34

Compound: K3Ho2BiTe6
Source: the Alexandria database
Functional: GGA-PBE
Structure: optimized geometry

Results
**Formation energy from raw total energies**: -109.2 kJ/mol of atoms

a = 7.8409 Å, b = 13.5825 Å, c = 8.6503 Å
α = 90.00°, β = 107.58°, γ = 90.00°
Closest atoms and distances in Å follow each position.
Space group C2/m (No. 12)
Unique sites:
K 0.0000 0.0000 0.0000 [2 per cell]  6 Te 3.52-3.57
K 0.0000 0.3361 0.0000 [4 per cell]  6 Te 3.54-3.57
Ho 0.0000 0.1671 0.5000 [4 per cell]  6 Te 3.11
Bi 0.0000 0.5000 0.5000 [2 per cell]  6 Te 3.17
Te 0.2296 0.0000 0.7075 [4 per cell]  2 Ho 3.11, 1 Bi 3.17
Te 0.2394 0.3303 0.7087 [8 per cell]  2 Ho 3.11, 1 Bi 3.17

Compound: TbPuIr2
Source: the Alexandria database
Functional: GGA-PBE
Structure: optimized geometry

Results
**Formation energy from the elements**: -577.4 meV per atom
**E above lowest polymorph**: 0.046 eV/atom

a = 6.8727 Å, b = 6.8727 Å, c = 6.8727 Å
α = 90.00°, β = 90.00°, γ = 90.00°
Closest atoms and distances in Å follow each position.
Space group Fm-3m (No. 225)
Unique sites:
Tb 0.0000 0.0000 0.0000 [4 per cell]  8 Ir 2.98
Pu 0.0000 0.0000 0.5000 [4 per cell]  8 Ir 2.98
Ir 0.2500 0.2500 0.2500 [8 per cell]  4 Tb 2.98, 4 Pu 2.98

Number 1: uncorrected energy -4.306 eV per atom. Number 2: uncorrected energy -4.693 eV per atom. Number 3: uncorrected energy -5.968 eV per atom. Number 4: uncorrected energy -4.272 eV per atom. Number 5: uncorrected energy -4.063 eV per atom. Number 6: uncorrected energy -9.748 eV per atom.